Entry from the Alexandria database: a PBEsol-optimized structure of Er6CoTe2 (SCAN).

Properties
- N(E_F): 1.018 states/eV/atom
- Energy relative to the elements, uncorrected: -0.693 eV per atom

a = 8.132 Å, b = 8.132 Å, c = 3.824 Å
α = 90.00°, β = 90.00°, γ = 120.00°
Sites, in units of the cell vectors:
Er (0.000, 0.236, 0.000)
Er (0.000, 0.603, 0.500)
Er (0.236, 0.000, 0.000)
Er (0.397, 0.397, 0.500)
Er (0.603, 0.000, 0.500)
Er (0.764, 0.764, 0.000)
Co (0.000, 0.000, 0.500)
Te (0.333, 0.667, 0.000)
Te (0.667, 0.333, 0.000)

***

Entry from the Alexandria database: a PBEsol-optimized structure of Rb2BeW (SCAN).

Properties
- N(E_F): 0.467 states/eV/atom

a = 9.206 Å, b = 9.206 Å, c = 9.206 Å
α = 93.56°, β = 93.56°, γ = 151.13°
Sites, in units of the cell vectors:
Rb (0.375, 0.193, 0.318)
Rb (0.807, 0.125, 0.182)
Rb (0.875, 0.057, 0.682)
Rb (0.943, 0.625, 0.818)
Be (0.000, 0.000, 0.000)
Be (0.750, 0.250, 0.500)
W (0.250, 0.750, 0.500)
W (0.500, 0.500, 0.000)

***

Entry from the Alexandria database: a PBEsol-optimized structure of NiMoNF2 (SCAN).

Properties
- N(E_F): 0.280 states/eV/atom
- Energy relative to the elements, uncorrected: -0.349 eV per atom

a = 3.636 Å, b = 3.636 Å, c = 4.100 Å
α = 90.00°, β = 90.00°, γ = 90.00°
Sites, in units of the cell vectors:
Ni (0.000, 0.000, 0.000)
Mo (0.500, 0.500, 0.500)
N (0.000, 0.000, 0.500)
F (0.000, 0.500, 0.000)
F (0.500, 0.000, 0.000)

***

Entry from the Alexandria database: a PBEsol-optimized structure of SiRh5 (SCAN).

Properties
- N(E_F): 0.783 states/eV/atom
- Energy relative to the elements, uncorrected: -0.328 eV per atom

a = 2.741 Å, b = 2.741 Å, c = 10.532 Å
α = 90.00°, β = 90.00°, γ = 90.00°
Sites, in units of the cell vectors:
Si (0.000, 0.000, 0.000)
Rh (0.000, 0.000, 0.329)
Rh (0.000, 0.000, 0.671)
Rh (0.500, 0.500, 0.140)
Rh (0.500, 0.500, 0.500)
Rh (0.500, 0.500, 0.860)

***

Entry from the Alexandria database: a PBEsol-optimized structure of K3P2HO6F2 (SCAN).

Properties
- N(E_F): 0.000 states/eV/atom

a = 6.971 Å, b = 6.971 Å, c = 9.505 Å
α = 102.67°, β = 102.67°, γ = 112.51°
Sites, in units of the cell vectors:
K (0.062, 0.322, 0.378)
K (0.130, 0.870, 0.500)
K (0.322, 0.062, 0.878)
K (0.458, 0.734, 0.189)
K (0.734, 0.458, 0.689)
K (0.870, 0.130, 0.000)
P (0.269, 0.505, 0.756)
P (0.505, 0.269, 0.256)
P (0.687, 0.923, 0.622)
P (0.923, 0.687, 0.122)
H (0.596, 0.596, 0.439)
H (0.596, 0.596, 0.939)
O (0.045, 0.585, 0.205)
O (0.148, 0.607, 0.674)
O (0.294, 0.316, 0.663)
O (0.316, 0.294, 0.163)
O (0.486, 0.679, 0.887)
O (0.513, 0.707, 0.490)
O (0.585, 0.045, 0.705)
O (0.607, 0.148, 0.174)
O (0.679, 0.486, 0.387)
O (0.707, 0.513, 0.990)
O (0.875, 0.898, 0.714)
O (0.898, 0.875, 0.214)
F (0.074, 0.793, 0.023)
F (0.119, 0.399, 0.856)
F (0.399, 0.119, 0.356)
F (0.793, 0.074, 0.523)

***

Entry from the Alexandria database: a PBEsol-optimized structure of MgTa2Os (SCAN).

Properties
- N(E_F): 0.761 states/eV/atom

a = 9.673 Å, b = 9.673 Å, c = 9.673 Å
α = 17.18°, β = 17.18°, γ = 17.18°
Sites, in units of the cell vectors:
Mg (0.000, 0.000, 0.000)
Ta (0.243, 0.243, 0.243)
Ta (0.757, 0.757, 0.757)
Os (0.500, 0.500, 0.500)

***

Entry from the Alexandria database: a PBEsol-optimized structure of Mg2InCl (SCAN).

Properties
- N(E_F): 0.328 states/eV/atom
- Energy relative to the elements, uncorrected: -0.460 eV per atom

a = 6.101 Å, b = 6.101 Å, c = 6.101 Å
α = 149.19°, β = 127.20°, γ = 62.39°
Sites, in units of the cell vectors:
Mg (0.000, 0.000, 0.000)
Mg (0.742, 0.242, 0.500)
In (0.266, 0.766, 0.500)
Cl (0.556, 0.556, 0.000)

***

Entry from the Alexandria database: a PBEsol-optimized structure of NiTe2Ir (SCAN).

Properties
- N(E_F): 0.657 states/eV/atom
- Energy relative to the elements, uncorrected: -0.062 eV per atom

a = 4.424 Å, b = 4.371 Å, c = 4.371 Å
α = 69.97°, β = 90.00°, γ = 90.00°
Sites, in units of the cell vectors:
Ni (0.000, 0.000, 0.000)
Te (0.000, 0.392, 0.392)
Te (0.500, 0.820, 0.820)
Ir (0.500, 0.193, 0.193)

***

| no. | magnetization (μB per formula unit) | raw total energy (eV/atom) |
| --- | --- | --- |
| 1 | 0.00 | -44.45 |
| 2 | 3.77 | -27.20 |
| 3 | 1.71 | -13.84 |
| 4 | 0.00 | -30.14 |
| 5 | 0.00 | -9.18 |
| 6 | 0.00 | -52.33 |
| 7 | 0.00 | -13.29 |
| 8 | 0.00 | -40.51 |